ErU2FeC4, relaxed, DFT PBE-GGA; symmetry = Cmcm (63); total DFT energy (no corrections) = -9.143 eV/atom; density of states at the Fermi level = 15.19 states/eV/cell; mass density = 11.12 g/cm³; ΔH_f (0 K) = -0.0811 eV per atom
1.0
1.750 -5.545 0.000
1.750 5.545 0.000
0.000 0.000 11.498
Er U Fe C
2 4 2 8
direct
0.106 0.894 0.750
0.894 0.106 0.250
0.369 0.631 0.551
0.369 0.631 0.949
0.631 0.369 0.051
0.631 0.369 0.449
0.159 0.841 0.250
0.841 0.159 0.750
0.000 0.000 0.000
0.000 0.000 0.500
0.261 0.739 0.123
0.261 0.739 0.377
0.433 0.567 0.750
0.567 0.433 0.250
0.739 0.261 0.623
0.739 0.261 0.877